#a
# MgMo (GGA-PBE, optimized geometry)
data_MgMo
_chemical_formula_sum 'Mg5 Mo5'
_cell_length_a 5.267
_cell_length_b 4.655
_cell_length_c 7.771
_cell_angle_alpha 90.00
_cell_angle_beta 109.72
_cell_angle_gamma 90.00
_space_group_name_H-M_alt 'P 1 m 1'
_space_group_IT_number 6
_space_group_name_Hall 'P -2y'
loop_
_atom_site_label
_atom_site_type_symbol
_atom_site_fract_x
_atom_site_fract_y
_atom_site_fract_z
Mg1 Mg 0.000 0.000 0.000
Mg2 Mg 0.066 0.500 0.786
Mg3 Mg 0.169 0.000 0.393
Mg4 Mg 0.393 0.000 0.786
Mg5 Mg 0.673 0.500 0.000
Mo1 Mo 0.308 0.500 0.217
Mo2 Mo 0.485 0.500 0.568
Mo3 Mo 0.581 0.000 0.220
Mo4 Mo 0.754 0.000 0.566
Mo5 Mo 0.835 0.500 0.393
# M_tot: 0.00 μB/f.u.

=====

#b
# MgMo (GGA-PBE, optimized geometry)
data_MgMo
_chemical_formula_sum 'Mg6 Mo6'
_cell_length_a 5.739
_cell_length_b 4.477
_cell_length_c 8.304
_cell_angle_alpha 90.00
_cell_angle_beta 92.27
_cell_angle_gamma 90.00
_space_group_name_H-M_alt 'P 1 21/m 1'
_space_group_IT_number 11
_space_group_name_Hall '-P 2yb'
loop_
_atom_site_label
_atom_site_type_symbol
_atom_site_fract_x
_atom_site_fract_y
_atom_site_fract_z
Mg1 Mg 0.095 0.250 0.419
Mg2 Mg 0.270 0.750 0.234
Mg3 Mg 0.403 0.750 0.604
Mo1 Mo 0.070 0.750 0.910
Mo2 Mo 0.226 0.250 0.783
Mo3 Mo 0.424 0.250 0.056
# M_tot: 0.00 μB/f.u.

=====

#c
# MgMo (GGA-PBE, optimized geometry)
data_MgMo
_chemical_formula_sum 'Mg4 Mo4'
_cell_length_a 5.7691
_cell_length_b 5.7691
_cell_length_c 4.7400
_cell_angle_alpha 90.00
_cell_angle_beta 90.00
_cell_angle_gamma 120.00
_space_group_name_H-M_alt 'P -6 m 2'
_space_group_IT_number 187
_space_group_name_Hall 'P -6 2'
loop_
_atom_site_label
_atom_site_type_symbol
_atom_site_fract_x
_atom_site_fract_y
_atom_site_fract_z
Mg1 Mg 0.0000 0.0000 0.0000
Mg2 Mg 0.1729 0.3458 0.5000
Mo1 Mo 0.0060 0.5030 0.0000
Mo2 Mo 0.6667 0.3333 0.5000
# M_tot: 0.00 μB/f.u.

=====

Winner for stability: #b

=====

#a
# MgMo (GGA-PBE, optimized geometry)
data_MgMo
_chemical_formula_sum 'Mg12 Mo12'
_cell_length_a 5.631
_cell_length_b 16.054
_cell_length_c 4.612
_cell_angle_alpha 90.00
_cell_angle_beta 90.00
_cell_angle_gamma 90.00
_space_group_name_H-M_alt 'P b c m'
_space_group_IT_number 57
_space_group_name_Hall '-P 2c 2b'
loop_
_atom_site_label
_atom_site_type_symbol
_atom_site_fract_x
_atom_site_fract_y
_atom_site_fract_z
Mg1 Mg 0.065 0.197 0.250
Mg2 Mg 0.222 0.622 0.750
Mg3 Mg 0.297 0.129 0.750
Mo1 Mo 0.085 0.530 0.250
Mo2 Mo 0.434 0.707 0.250
Mo3 Mo 0.452 0.041 0.250
# M_tot: 0.00 μB/f.u.

=====

#b
# MgMo (GGA-PBE, optimized geometry)
data_MgMo
_chemical_formula_sum 'Mg4 Mo4'
_cell_length_a 4.566
_cell_length_b 4.559
_cell_length_c 6.442
_cell_angle_alpha 90.00
_cell_angle_beta 90.00
_cell_angle_gamma 90.00
_space_group_name_H-M_alt 'P n m a'
_space_group_IT_number 62
_space_group_name_Hall '-P 2ac 2n'
loop_
_atom_site_label
_atom_site_type_symbol
_atom_site_fract_x
_atom_site_fract_y
_atom_site_fract_z
Mg1 Mg 0.003 0.250 0.125
Mo1 Mo 0.002 0.250 0.625
# M_tot: 0.01 μB/f.u.

=====

Winner for stability: #a

=====

#a
# MgMo (GGA-PBE, optimized geometry)
data_MgMo
_chemical_formula_sum 'Mg10 Mo10'
_cell_length_a 4.692
_cell_length_b 14.245
_cell_length_c 5.137
_cell_angle_alpha 90.00
_cell_angle_beta 90.00
_cell_angle_gamma 90.00
_space_group_name_H-M_alt 'A m m 2'
_space_group_IT_number 38
_space_group_name_Hall 'A 2 -2'
loop_
_atom_site_label
_atom_site_type_symbol
_atom_site_fract_x
_atom_site_fract_y
_atom_site_fract_z
Mg1 Mg 0.000 0.000 0.000
Mg2 Mg 0.000 0.099 0.489
Mg3 Mg 0.500 0.101 0.795
Mo1 Mo 0.000 0.207 0.023
Mo2 Mo 0.500 0.000 0.290
Mo3 Mo 0.500 0.201 0.288
# M_tot: 0.00 μB/f.u.

=====

#b
# MgMo (GGA-PBE, optimized geometry)
data_MgMo
_chemical_formula_sum 'Mg6 Mo6'
_cell_length_a 4.608
_cell_length_b 4.725
_cell_length_c 9.534
_cell_angle_alpha 90.00
_cell_angle_beta 90.03
_cell_angle_gamma 90.00
_space_group_name_H-M_alt 'P 1 m 1'
_space_group_IT_number 6
_space_group_name_Hall 'P -2y'
loop_
_atom_site_label
_atom_site_type_symbol
_atom_site_fract_x
_atom_site_fract_y
_atom_site_fract_z
Mg1 Mg 0.000 0.000 0.000
Mg2 Mg 0.003 0.000 0.659
Mg3 Mg 0.493 0.500 0.997
Mg4 Mg 0.500 0.000 0.485
Mg5 Mg 0.504 0.000 0.826
Mg6 Mg 0.993 0.500 0.488
Mo1 Mo 0.490 0.500 0.670
Mo2 Mo 0.493 0.500 0.309
Mo3 Mo 0.499 0.000 0.179
Mo4 Mo 0.992 0.500 0.814
Mo5 Mo 0.995 0.500 0.175
Mo6 Mo 0.997 0.000 0.305
# M_tot: 0.01 μB/f.u.

=====

Winner for stability: #b

=====

#a
# MgMo (GGA-PBE, optimized geometry)
data_MgMo
_chemical_formula_sum 'Mg8 Mo8'
_cell_length_a 4.748
_cell_length_b 6.402
_cell_length_c 9.201
_cell_angle_alpha 90.00
_cell_angle_beta 90.00
_cell_angle_gamma 90.00
_space_group_name_H-M_alt 'P m m n'
_space_group_IT_number 59
loop_
_space_group_symop_operation_xyz
'x,y,z'
'-x,-y,-z'
'-x+1/2,-y+1/2,z'
'x+1/2,y+1/2,-z'
'x+1/2,-y,-z'
'-x+1/2,y,z'
'-x,y+1/2,-z'
'x,-y+1/2,z'
loop_
_atom_site_label
_atom_site_type_symbol
_atom_site_fract_x
_atom_site_fract_y
_atom_site_fract_z
Mg1 Mg 0.250 0.006 0.135
Mg2 Mg 0.250 0.750 0.380
Mg3 Mg 0.250 0.750 0.878
Mo1 Mo 0.250 0.004 0.627
Mo2 Mo 0.250 0.250 0.406
Mo3 Mo 0.250 0.250 0.843
# M_tot: 0.01 μB/f.u.

=====

#b
# MgMo (GGA-PBE, optimized geometry)
data_MgMo
_chemical_formula_sum 'Mg4 Mo4'
_cell_length_a 2.743
_cell_length_b 4.670
_cell_length_c 11.078
_cell_angle_alpha 90.00
_cell_angle_beta 90.00
_cell_angle_gamma 90.00
_space_group_name_H-M_alt 'P m m n'
_space_group_IT_number 59
loop_
_space_group_symop_operation_xyz
'x,y,z'
'-x,-y,-z'
'-x+1/2,-y+1/2,z'
'x+1/2,y+1/2,-z'
'x+1/2,-y,-z'
'-x+1/2,y,z'
'-x,y+1/2,-z'
'x,-y+1/2,z'
loop_
_atom_site_label
_atom_site_type_symbol
_atom_site_fract_x
_atom_site_fract_y
_atom_site_fract_z
Mg1 Mg 0.250 0.250 0.066
Mg2 Mg 0.250 0.750 0.210
Mo1 Mo 0.250 0.250 0.557
Mo2 Mo 0.250 0.750 0.680
# M_tot: 0.01 μB/f.u.

=====

#c
# MgMo (GGA-PBE, optimized geometry)
data_MgMo
_chemical_formula_sum 'Mg6 Mo6'
_cell_length_a 5.737
_cell_length_b 4.480
_cell_length_c 8.300
_cell_angle_alpha 90.00
_cell_angle_beta 92.19
_cell_angle_gamma 90.00
_space_group_name_H-M_alt 'P 1 21/m 1'
_space_group_IT_number 11
_space_group_name_Hall '-P 2yb'
loop_
_atom_site_label
_atom_site_type_symbol
_atom_site_fract_x
_atom_site_fract_y
_atom_site_fract_z
Mg1 Mg 0.095 0.250 0.419
Mg2 Mg 0.270 0.750 0.234
Mg3 Mg 0.403 0.750 0.603
Mo1 Mo 0.070 0.750 0.910
Mo2 Mo 0.226 0.250 0.783
Mo3 Mo 0.424 0.250 0.056
# M_tot: 0.00 μB/f.u.

=====

#d
# MgMo (GGA-PBE, optimized geometry)
data_MgMo
_chemical_formula_sum 'Mg2 Mo2'
_cell_length_a 2.680
_cell_length_b 4.741
_cell_length_c 5.442
_cell_angle_alpha 90.00
_cell_angle_beta 90.00
_cell_angle_gamma 90.00
_space_group_name_H-M_alt 'P m m n'
_space_group_IT_number 59
loop_
_space_group_symop_operation_xyz
'x,y,z'
'-x,-y,-z'
'-x+1/2,-y+1/2,z'
'x+1/2,y+1/2,-z'
'x+1/2,-y,-z'
'-x+1/2,y,z'
'-x,y+1/2,-z'
'x,-y+1/2,z'
loop_
_atom_site_label
_atom_site_type_symbol
_atom_site_fract_x
_atom_site_fract_y
_atom_site_fract_z
Mg1 Mg 0.250 0.250 0.102
Mo1 Mo 0.250 0.750 0.409
# M_tot: 0.00 μB/f.u.

=====

Winner for stability: #c

=====

#a
# MgMo (GGA-PBE, optimized geometry)
data_MgMo
_chemical_formula_sum 'Mg4 Mo4'
_cell_length_a 6.787
_cell_length_b 4.630
_cell_length_c 4.629
_cell_angle_alpha 90.00
_cell_angle_beta 90.00
_cell_angle_gamma 90.00
_space_group_name_H-M_alt 'P b c m'
_space_group_IT_number 57
_space_group_name_Hall '-P 2c 2b'
loop_
_atom_site_label
_atom_site_type_symbol
_atom_site_fract_x
_atom_site_fract_y
_atom_site_fract_z
Mg1 Mg 0.143 0.001 0.250
Mo1 Mo 0.413 0.501 0.250
# M_tot: 0.00 μB/f.u.

=====

#b
# MgMo (GGA-PBE, optimized geometry)
data_MgMo
_chemical_formula_sum 'Mg4 Mo4'
_cell_length_a 4.708
_cell_length_b 5.855
_cell_length_c 5.080
_cell_angle_alpha 90.00
_cell_angle_beta 90.00
_cell_angle_gamma 90.00
_space_group_name_H-M_alt 'P m m 2'
_space_group_IT_number 25
_space_group_name_Hall 'P 2 -2'
loop_
_atom_site_label
_atom_site_type_symbol
_atom_site_fract_x
_atom_site_fract_y
_atom_site_fract_z
Mg1 Mg 0.000 0.000 0.000
Mg2 Mg 0.000 0.261 0.471
Mg3 Mg 0.500 0.000 0.654
Mo1 Mo 0.000 0.500 0.959
Mo2 Mo 0.500 0.279 0.154
Mo3 Mo 0.500 0.500 0.612
# M_tot: 0.00 μB/f.u.

=====

Winner for stability: #a

=====

#a
# MgMo (GGA-PBE, optimized geometry)
data_MgMo
_chemical_formula_sum 'Mg8 Mo8'
_cell_length_a 4.568
_cell_length_b 4.568
_cell_length_c 13.412
_cell_angle_alpha 90.00
_cell_angle_beta 90.00
_cell_angle_gamma 90.00
_space_group_name_H-M_alt 'I 4/m m m'
_space_group_IT_number 139
_space_group_name_Hall '-I 4 2'
loop_
_atom_site_label
_atom_site_type_symbol
_atom_site_fract_x
_atom_site_fract_y
_atom_site_fract_z
Mg1 Mg 0.000 0.000 0.131
Mg2 Mg 0.000 0.500 0.000
Mo1 Mo 0.000 0.000 0.355
Mo2 Mo 0.000 0.500 0.250
# M_tot: 0.00 μB/f.u.

=====

#b
# MgMo (GGA-PBE, optimized geometry)
data_MgMo
_chemical_formula_sum 'Mg6 Mo6'
_cell_length_a 5.689
_cell_length_b 4.602
_cell_length_c 8.500
_cell_angle_alpha 90.00
_cell_angle_beta 108.84
_cell_angle_gamma 90.00
_space_group_name_H-M_alt 'P 1 21/m 1'
_space_group_IT_number 11
_space_group_name_Hall '-P 2yb'
loop_
_atom_site_label
_atom_site_type_symbol
_atom_site_fract_x
_atom_site_fract_y
_atom_site_fract_z
Mg1 Mg 0.063 0.250 0.431
Mg2 Mg 0.231 0.250 0.081
Mg3 Mg 0.260 0.750 0.898
Mo1 Mo 0.166 0.750 0.266
Mo2 Mo 0.415 0.250 0.749
Mo3 Mo 0.442 0.750 0.576
# M_tot: 0.01 μB/f.u.

=====

#c
# MgMo (GGA-PBE, optimized geometry)
data_MgMo
_chemical_formula_sum 'Mg8 Mo8'
_cell_length_a 4.676
_cell_length_b 11.805
_cell_length_c 5.200
_cell_angle_alpha 90.00
_cell_angle_beta 90.00
_cell_angle_gamma 90.00
_space_group_name_H-M_alt 'P m m n'
_space_group_IT_number 59
loop_
_space_group_symop_operation_xyz
'x,y,z'
'-x,-y,-z'
'-x+1/2,-y+1/2,z'
'x+1/2,y+1/2,-z'
'x+1/2,-y,-z'
'-x+1/2,y,z'
'-x,y+1/2,-z'
'x,-y+1/2,z'
loop_
_atom_site_label
_atom_site_type_symbol
_atom_site_fract_x
_atom_site_fract_y
_atom_site_fract_z
Mg1 Mg 0.250 0.000 0.176
Mg2 Mg 0.250 0.126 0.652
Mo1 Mo 0.250 0.250 0.134
Mo2 Mo 0.250 0.651 0.662
Mo3 Mo 0.250 0.750 0.186
# M_tot: 0.00 μB/f.u.

=====

#d
# MgMo (GGA-PBE, optimized geometry)
data_MgMo
_chemical_formula_sum 'Mg6 Mo6'
_cell_length_a 4.571
_cell_length_b 9.878
_cell_length_c 4.638
_cell_angle_alpha 90.00
_cell_angle_beta 90.00
_cell_angle_gamma 90.00
_space_group_name_H-M_alt 'P m c 21'
_space_group_IT_number 26
_space_group_name_Hall 'P 2c -2'
loop_
_atom_site_label
_atom_site_type_symbol
_atom_site_fract_x
_atom_site_fract_y
_atom_site_fract_z
Mg1 Mg 0.000 0.076 0.000
Mg2 Mg 0.000 0.405 0.981
Mg3 Mg 0.500 0.402 0.410
Mo1 Mo 0.000 0.233 0.500
Mo2 Mo 0.500 0.094 0.432
Mo3 Mo 0.500 0.225 0.896
# M_tot: 0.01 μB/f.u.

=====

Winner for stability: #a

=====

#a
# Mg4Mo3 (GGA-PBE, optimized geometry)
data_Mg4Mo3
_chemical_formula_sum 'Mg8 Mo6'
_cell_length_a 8.0451
_cell_length_b 8.0451
_cell_length_c 4.6717
_cell_angle_alpha 90.00
_cell_angle_beta 90.00
_cell_angle_gamma 120.00
_space_group_name_H-M_alt 'P 63/m'
_space_group_IT_number 176
_space_group_name_Hall '-P 6c'
loop_
_atom_site_label
_atom_site_type_symbol
_atom_site_fract_x
_atom_site_fract_y
_atom_site_fract_z
Mg1 Mg 0.0866 0.6263 0.2500
Mg2 Mg 0.3333 0.6667 0.7500
Mo1 Mo 0.0374 0.8340 0.7500
# M_tot: 0.01 μB/f.u.

=====

#b
# Mg4Mo3 (GGA-PBE, optimized geometry)
data_Mg4Mo3
_chemical_formula_sum 'Mg8 Mo6'
_cell_length_a 7.7939
_cell_length_b 7.7939
_cell_length_c 4.7582
_cell_angle_alpha 90.00
_cell_angle_beta 90.00
_cell_angle_gamma 120.00
_space_group_name_H-M_alt 'P 63/m'
_space_group_IT_number 176
_space_group_name_Hall '-P 6c'
loop_
_atom_site_label
_atom_site_type_symbol
_atom_site_fract_x
_atom_site_fract_y
_atom_site_fract_z
Mg1 Mg 0.0770 0.2557 0.2500
Mg2 Mg 0.3333 0.6667 0.2500
Mo1 Mo 0.1105 0.5177 0.7500
# M_tot: 0.01 μB/f.u.

=====

Winner for stability: #a

=====

#a
# MgZnMo2N4 (GGA-PBE, optimized geometry)
data_MgZnMo2N4
_chemical_formula_sum 'Mg1 Zn1 Mo2 N4'
_cell_length_a 2.9091
_cell_length_b 2.9091
_cell_length_c 10.8640
_cell_angle_alpha 90.00
_cell_angle_beta 90.00
_cell_angle_gamma 120.00
_space_group_name_H-M_alt 'P -3 m 1'
_space_group_IT_number 164
_space_group_name_Hall '-P 3 2"'
loop_
_atom_site_label
_atom_site_type_symbol
_atom_site_fract_x
_atom_site_fract_y
_atom_site_fract_z
Mg1 Mg 0.0000 0.0000 0.0000
Zn1 Zn 0.0000 0.0000 0.5000
Mo1 Mo 0.0000 0.0000 0.2499
N1 N 0.3333 0.6667 0.6304
N2 N 0.3333 0.6667 0.8715
# M_tot: 0.00 μB/f.u.

=====

#b
# MgZnMo2N4 (GGA-PBE, optimized geometry)
data_MgZnMo2N4
_chemical_formula_sum 'Mg2 Zn2 Mo4 N8'
_cell_length_a 4.704
_cell_length_b 4.704
_cell_length_c 9.173
_cell_angle_alpha 90.00
_cell_angle_beta 90.00
_cell_angle_gamma 90.00
_space_group_name_H-M_alt 'I -4'
_space_group_IT_number 82
_space_group_name_Hall 'I -4'
loop_
_atom_site_label
_atom_site_type_symbol
_atom_site_fract_x
_atom_site_fract_y
_atom_site_fract_z
Mg1 Mg 0.000 0.000 0.000
Zn1 Zn 0.000 0.500 0.250
Mo1 Mo 0.000 0.000 0.500
Mo2 Mo 0.000 0.500 0.750
N1 N 0.230 0.246 0.627
# M_tot: 0.02 μB/f.u.

=====

Winner for stability: #a